(1)
The following is a GGA-PBEsol calculation of a relaxed structure of Be2InSb, from the Alexandria database.

Values from the calculation:
* DOS(E_F): 1.6 states/eV per cell
* formation energy from raw total energies: 0.6525 eV per atom
* total magnetic moment: 0.0 μB/f.u.
* raw total energy: -12.93 eV/cell

```
Be2InSb
1.0
-2.161 2.161 3.762
2.161 -2.161 3.762
2.161 2.161 -3.762
Be In Sb
2 1 1
direct
0.250 0.750 0.500 Be
0.750 0.250 0.500 Be
0.000 0.000 0.000 In
0.500 0.500 0.000 Sb
```


(2)
The following is a GGA-PBEsol calculation of a relaxed structure of Ca3Bi8Pd4, from the Alexandria database.

Values from the calculation:
* DOS(E_F): 12.8 states/eV per cell
* total magnetic moment: 0.0 μB/f.u.
* raw total energy: -145.72 eV/cell

```
Ca3Bi8Pd4
1.0
10.737 0.000 0.000
0.000 16.938 0.000
0.000 0.000 4.160
Ca Bi Pd
6 16 8
direct
0.000 0.000 0.000 Ca
0.142 0.301 0.000 Ca
0.358 0.801 0.000 Ca
0.500 0.500 0.000 Ca
0.642 0.199 0.000 Ca
0.858 0.699 0.000 Ca
0.109 0.142 0.500 Bi
0.110 0.714 0.500 Bi
0.132 0.539 0.000 Bi
0.195 0.915 0.500 Bi
0.305 0.415 0.500 Bi
0.368 0.039 0.000 Bi
0.390 0.214 0.500 Bi
0.391 0.642 0.500 Bi
0.609 0.358 0.500 Bi
0.610 0.786 0.500 Bi
0.632 0.961 0.000 Bi
0.695 0.585 0.500 Bi
0.805 0.085 0.500 Bi
0.868 0.461 0.000 Bi
0.890 0.286 0.500 Bi
0.891 0.858 0.500 Bi
0.046 0.422 0.500 Pd
0.069 0.824 0.000 Pd
0.431 0.324 0.000 Pd
0.454 0.922 0.500 Pd
0.546 0.078 0.500 Pd
0.569 0.676 0.000 Pd
0.931 0.176 0.000 Pd
0.954 0.578 0.500 Pd
```


(3)
The following is a GGA-PBEsol calculation of a relaxed structure of TaCuW, from the Alexandria database.

Values from the calculation:
* DOS(E_F): 1.9 states/eV per cell
* total magnetic moment: 0.0 μB/f.u.
* raw total energy: -29.63 eV/cell

```
TaCuW
1.0
2.756 0.000 0.000
-1.378 2.387 0.000
0.000 0.000 6.996
Ta Cu W
1 1 1
direct
0.000 0.000 0.000 Ta
0.667 0.333 0.326 Cu
0.333 0.667 0.640 W
```


(4)
The following is a GGA-PBEsol calculation of a relaxed structure of KYHg3, from the Alexandria database.

Values from the calculation:
* DOS(E_F): 2.9 states/eV per cell
* total magnetic moment: 0.0 μB/f.u.
* raw total energy: -9.40 eV/cell

```
KYHg3
1.0
5.749 0.000 0.000
0.000 5.749 0.000
0.000 0.000 5.749
K Y Hg
1 1 3
direct
0.000 0.000 0.000 K
0.500 0.500 0.500 Y
0.000 0.500 0.500 Hg
0.500 0.000 0.500 Hg
0.500 0.500 0.000 Hg
```


(5)
The following is a GGA-PBEsol calculation of a relaxed structure of SrY3Sn, from the Alexandria database.

Values from the calculation:
* DOS(E_F): 5.4 states/eV per cell
* total magnetic moment: 0.0 μB/f.u.
* raw total energy: -21.52 eV/cell

```
SrY3Sn
1.0
5.433 0.000 0.000
0.000 5.433 0.000
0.000 0.000 5.433
Sr Y Sn
1 3 1
direct
0.000 0.000 0.000 Sr
0.000 0.000 0.500 Y
0.000 0.500 0.000 Y
0.500 0.000 0.000 Y
0.500 0.500 0.500 Sn
```


(6)
The following is a GGA-PBEsol calculation of a relaxed structure of MoPRh2, from the Alexandria database.

Values from the calculation:
* DOS(E_F): 2.5 states/eV per cell
* total magnetic moment: 0.0 μB/f.u.
* raw total energy: -35.34 eV/cell

```
MoPRh2
1.0
3.756 0.000 0.000
0.000 1.406 5.138
0.000 -1.406 5.138
Mo P Rh
1 1 2
direct
0.000 0.000 0.000 Mo
0.500 0.394 0.394 P
0.000 0.266 0.266 Rh
0.500 0.624 0.624 Rh
```


(7)
The following is a GGA-PBEsol calculation of a relaxed structure of AsSOF9, from the Alexandria database.

Values from the calculation:
* DOS(E_F): 0.0 states/eV per cell
* formation energy from raw total energies: -1.8486 eV per atom
* total magnetic moment: 0.0 μB/f.u.
* raw total energy: -217.08 eV/cell

```
AsSOF9
1.0
10.741 0.000 0.000
0.000 7.198 0.000
0.000 0.000 8.673
As S O F
4 4 4 36
direct
0.016 0.250 0.197 As
0.484 0.750 0.697 As
0.516 0.250 0.303 As
0.984 0.750 0.803 As
0.188 0.750 0.344 S
0.312 0.250 0.844 S
0.688 0.750 0.156 S
0.812 0.250 0.656 S
0.231 0.250 0.719 O
0.269 0.750 0.219 O
0.731 0.250 0.781 O
0.769 0.750 0.281 O
0.018 0.250 0.995 F
0.021 0.250 0.401 F
0.052 0.750 0.310 F
0.098 0.577 0.798 F
0.098 0.923 0.798 F
0.134 0.077 0.196 F
0.134 0.423 0.196 F
0.199 0.591 0.455 F
0.199 0.909 0.455 F
0.301 0.091 0.955 F
0.301 0.409 0.955 F
0.366 0.577 0.696 F
0.366 0.923 0.696 F
0.402 0.077 0.298 F
0.402 0.423 0.298 F
0.448 0.250 0.810 F
0.479 0.750 0.901 F
0.482 0.750 0.495 F
0.518 0.250 0.505 F
0.521 0.250 0.099 F
0.552 0.750 0.190 F
0.598 0.577 0.702 F
0.598 0.923 0.702 F
0.634 0.077 0.304 F
0.634 0.423 0.304 F
0.699 0.591 0.045 F
0.699 0.909 0.045 F
0.801 0.091 0.545 F
0.801 0.409 0.545 F
0.866 0.577 0.804 F
0.866 0.923 0.804 F
0.902 0.077 0.202 F
0.902 0.423 0.202 F
0.948 0.250 0.690 F
0.979 0.750 0.599 F
0.982 0.750 0.005 F
```


(8)
The following is a GGA-PBEsol calculation of a relaxed structure of CuAgW3, from the Alexandria database.

Values from the calculation:
* DOS(E_F): 3.7 states/eV per cell
* total magnetic moment: 0.0 μB/f.u.
* raw total energy: -39.39 eV/cell

```
CuAgW3
1.0
4.453 0.000 0.000
0.000 4.453 0.000
0.000 0.000 4.453
Cu Ag W
1 1 3
direct
0.000 0.000 0.000 Cu
0.500 0.500 0.500 Ag
0.000 0.000 0.500 W
0.000 0.500 0.000 W
0.500 0.000 0.000 W
```